(1)
Entry from the Alexandria database: an optimized crystal structure of Li4AlGa5 (PBE).

Output
ΔE to the lowest computed polymorph	0	meV per atom
spin magnetization	0.0	μB/f.u.
total DFT energy (no corrections)	-28.69	eV/cell
energy of formation from the pure elements	-0.216	eV per atom
Fermi-level density of states	0.29	states/eV/atom

Unit cell a=4.533 b=6.928 c=7.905 alpha=43.30 beta=73.34 gamma=70.90
Positions (direct):
1 Ga 0.798 0.101 0.303
2 Ga 0.202 0.899 0.697
3 Li 0.401 0.801 0.398
4 Ga 0.603 0.695 0.098
5 Li 0.599 0.199 0.602
6 Ga 0.397 0.305 0.902
7 Li 0.801 0.598 0.800
8 Li 0.199 0.402 0.200
9 Ga 0.000 0.500 0.500
10 Al 0.000 0.000 0.000


(2)
Entry from the Alexandria database: an optimized crystal structure of Li5Al2Ga (PBE).

Output
spin magnetization	0.0	μB/f.u.
total DFT energy (no corrections)	-21.36	eV/cell
energy of formation from the pure elements	-0.160	eV per atom
Fermi-level density of states	0.29	states/eV/atom

Unit cell a=4.364 b=4.364 c=7.239 alpha=107.54 beta=107.54 gamma=90.00
Positions (direct):
1 Li 0.379 0.879 0.757
2 Li 0.879 0.379 0.757
3 Li 0.500 0.500 0.000
4 Ga 0.000 0.000 0.000
5 Al 0.248 0.248 0.495
6 Li 0.121 0.621 0.243
7 Li 0.621 0.121 0.243
8 Al 0.752 0.752 0.505


(3)
Entry from the Alexandria database: an optimized crystal structure of Li2Al2Ga (PBE).

Output
ΔE to the lowest computed polymorph	116	meV per atom
spin magnetization	0.0	μB/f.u.
total DFT energy (no corrections)	-29.25	eV/cell
energy of formation from the pure elements	-0.057	eV per atom
Fermi-level density of states	0.26	states/eV/atom

Unit cell a=6.560 b=6.560 c=4.343 alpha=90.00 beta=90.00 gamma=90.00
Positions (direct):
1 Li 0.839 0.339 0.500
2 Al 0.637 0.137 0.000
3 Li 0.161 0.661 0.500
4 Al 0.863 0.637 0.000
5 Li 0.339 0.161 0.500
6 Ga 0.500 0.500 0.000
7 Li 0.661 0.839 0.500
8 Al 0.363 0.863 0.000
9 Ga 0.000 0.000 0.000
10 Al 0.137 0.363 0.000


(4)
Entry from the Alexandria database: an optimized crystal structure of Li2Al2Ga (PBE).

Output
ΔE to the lowest computed polymorph	123	meV per atom
spin magnetization	0.0	μB/f.u.
total DFT energy (no corrections)	-29.18	eV/cell
energy of formation from the pure elements	-0.050	eV per atom
Fermi-level density of states	0.31	states/eV/atom

Unit cell a=5.230 b=6.134 c=7.096 alpha=115.61 beta=111.63 gamma=90.00
Positions (direct):
1 Al 0.922 0.770 0.844
2 Li 0.820 0.092 0.639
3 Al 0.422 0.074 0.844
4 Li 0.180 0.908 0.361
5 Al 0.078 0.230 0.156
6 Li 0.320 0.547 0.639
7 Al 0.578 0.926 0.156
8 Ga 0.250 0.500 0.000
9 Li 0.680 0.453 0.361
10 Ga 0.750 0.500 0.000


(5)
Entry from the Alexandria database: an optimized crystal structure of Li3Al4Ga12 (PBE).

Output
spin magnetization	0.0	μB/f.u.
total DFT energy (no corrections)	-54.58	eV/cell
energy of formation from the pure elements	0.129	eV per atom
Fermi-level density of states	0.51	states/eV/atom

Unit cell a=8.435 b=8.435 c=8.435 alpha=109.47 beta=109.47 gamma=109.47
Positions (direct):
1 Al 0.000 0.000 0.500
2 Ga 0.362 0.106 0.744
3 Ga 0.638 0.894 0.256
4 Ga 0.362 0.618 0.256
5 Li 0.500 0.500 0.000
6 Al 0.500 0.500 0.500
7 Ga 0.744 0.638 0.382
8 Ga 0.618 0.256 0.362
9 Ga 0.382 0.744 0.638
10 Al 0.000 0.500 0.000
11 Ga 0.638 0.382 0.744
12 Ga 0.894 0.256 0.638
13 Li 0.500 0.000 0.500
14 Ga 0.106 0.744 0.362
15 Ga 0.256 0.638 0.894
16 Ga 0.744 0.362 0.106
17 Ga 0.256 0.362 0.618
18 Li 0.000 0.500 0.500
19 Al 0.500 0.000 0.000


(6)
Entry from the Alexandria database: an optimized crystal structure of LiAlGa (PBE).

Output
ΔE to the lowest computed polymorph	0	meV per atom
spin magnetization	0.0	μB/f.u.
total DFT energy (no corrections)	-18.28	eV/cell
energy of formation from the pure elements	-0.152	eV per atom
Fermi-level density of states	0.27	states/eV/atom

Unit cell a=4.180 b=4.055 c=6.261 alpha=90.00 beta=111.01 gamma=89.99
Positions (direct):
1 Ga 0.477 0.993 0.870
2 Li 0.319 0.493 0.551
3 Ga 0.984 0.493 0.888
4 Al 0.819 0.993 0.551
5 Li 0.142 0.993 0.207
6 Al 0.642 0.493 0.206


(7)
Entry from the Alexandria database: an optimized crystal structure of Li14AlGa (PBE).

Output
spin magnetization	0.0	μB/f.u.
total DFT energy (no corrections)	-34.47	eV/cell
energy of formation from the pure elements	-0.057	eV per atom
Fermi-level density of states	0.35	states/eV/atom

Unit cell a=5.738 b=5.738 c=9.641 alpha=90.00 beta=90.00 gamma=114.07
Positions (direct):
1 Li 0.361 0.639 0.735
2 Li 0.374 0.143 0.737
3 Li 0.084 0.403 0.500
4 Li 0.681 0.319 0.000
5 Li 0.361 0.639 0.265
6 Ga 0.586 0.414 0.500
7 Al 0.092 0.908 0.500
8 Li 0.857 0.626 0.737
9 Li 0.857 0.626 0.263
10 Li 0.669 0.817 0.000
11 Li 0.597 0.916 0.500
12 Li 0.183 0.331 0.000
13 Li 0.875 0.125 0.744
14 Li 0.374 0.143 0.263
15 Li 0.875 0.125 0.256
16 Li 0.174 0.826 0.000


(8)
Entry from the Alexandria database: an optimized crystal structure of LiAl12Ga6 (PBE).

Output
spin magnetization	0.0	μB/f.u.
total DFT energy (no corrections)	-64.10	eV/cell
energy of formation from the pure elements	0.047	eV per atom
Fermi-level density of states	0.30	states/eV/atom

Unit cell a=7.229 b=7.229 c=7.229 alpha=104.06 beta=104.06 gamma=104.06
Positions (direct):
1 Al 0.265 0.735 0.000
2 Al 0.735 0.265 0.000
3 Al 0.265 0.000 0.735
4 Al 0.000 0.265 0.735
5 Al 0.735 0.000 0.265
6 Ga 0.833 0.834 0.584
7 Ga 0.584 0.833 0.834
8 Al 0.806 0.416 0.415
9 Ga 0.166 0.416 0.167
10 Ga 0.167 0.166 0.416
11 Al 0.416 0.415 0.806
12 Al 0.584 0.585 0.194
13 Al 0.585 0.194 0.584
14 Al 0.415 0.806 0.416
15 Al 0.000 0.735 0.265
16 Ga 0.834 0.584 0.833
17 Li 0.000 0.000 0.000
18 Ga 0.416 0.167 0.166
19 Al 0.194 0.584 0.585